# 1
Below is crystalline NaCuHg3 at its relaxed geometry, with properties calculated at the PBE level.

Geometry as POSCAR:
```
NaCuHg3
1.0
-1.984 1.252 4.591
-2.753 -4.359 -0.001
3.882 -2.451 2.346
Na Hg Cu
1 3 1
direct
0.500 0.500 0.500 Na
0.000 0.500 0.000 Hg
0.000 0.000 0.500 Hg
0.500 0.000 0.000 Hg
0.000 0.000 0.000 Cu
```

Properties
**SG**: Pm-3m (221)
**ΔE_f**: -2 meV per atom

# 2
Below is crystalline Na3CuHg at its relaxed geometry, with properties calculated at the PBE level.

Geometry as POSCAR:
```
Na3CuHg
1.0
5.439 0.000 0.000
0.000 5.439 0.000
0.000 0.000 5.439
Na Hg Cu
3 1 1
direct
0.000 0.500 0.000 Na
0.000 0.000 0.500 Na
0.500 0.000 0.000 Na
0.500 0.500 0.500 Hg
0.000 0.000 0.000 Cu
```

Properties
**SG**: Pm-3m (221)
**Energy above the most stable polymorph in this dataset**: 0.0 meV/atom
**ΔE_f**: 206 meV per atom

# 3
Below is crystalline NaCuHg at its relaxed geometry, with properties calculated at the PBE level.

Geometry as POSCAR:
```
NaCuHg
1.0
3.860 0.000 0.000
0.000 3.860 0.000
-1.930 -1.930 8.665
Hg Cu Na
2 2 2
direct
0.114 0.114 0.228 Hg
0.886 0.886 0.772 Hg
0.000 0.500 0.000 Cu
0.500 0.000 0.000 Cu
0.689 0.689 0.377 Na
0.311 0.311 0.623 Na
```

Properties
**SG**: I4/mmm (139)
**ΔE_f**: 45 meV per atom

# 4
Below is crystalline Na2CuHg at its relaxed geometry, with properties calculated at the PBE level.

Geometry as POSCAR:
```
Na2CuHg
1.0
4.461 0.000 0.000
0.000 4.460 0.000
0.000 0.000 4.460
Na Hg Cu
2 1 1
direct
0.000 0.000 0.500 Na
0.000 0.500 0.000 Na
0.500 0.000 0.000 Hg
0.500 0.500 0.500 Cu
```

Properties
**SG**: P4/mmm (123)
**ΔE_f**: 76 meV per atom

# 5
Below is crystalline Na2CuHg at its relaxed geometry, with properties calculated at the PBE level.

Geometry as POSCAR:
```
Na2CuHg
1.0
-0.093 -1.058 -4.004
-3.091 -2.648 0.771
-8.479 5.656 -3.441
Na Hg Cu
4 2 2
direct
0.616 0.125 0.250 Na
0.134 0.625 0.250 Na
0.375 0.384 0.750 Na
0.875 0.866 0.750 Na
0.000 0.000 0.000 Hg
0.750 0.250 0.500 Hg
0.500 0.500 0.000 Cu
0.250 0.750 0.500 Cu
```

Properties
**SG**: I-42d (122)
**ΔE_f**: 223 meV per atom

# 6
Below is crystalline Na2CuHg at its relaxed geometry, with properties calculated at the PBE level.

Geometry as POSCAR:
```
Na2CuHg
1.0
3.194 0.000 0.000
1.597 2.766 0.000
1.597 0.922 10.855
Na Hg Cu
2 1 1
direct
0.084 0.084 0.748 Na
0.916 0.916 0.252 Na
0.500 0.500 0.500 Hg
0.000 0.000 0.000 Cu
```

Properties
**SG**: R-3m (166)
**ΔE_f**: 290 meV per atom

# 7
Below is crystalline Na2CuHg4 at its relaxed geometry, with properties calculated at the PBE level.

Geometry as POSCAR:
```
Na2CuHg4
1.0
5.130 0.000 0.000
0.000 5.130 0.000
-2.565 -2.565 7.808
Na Hg Cu
2 4 1
direct
0.631 0.631 0.262 Na
0.369 0.369 0.738 Na
0.826 0.826 0.652 Hg
0.174 0.174 0.348 Hg
0.000 0.500 0.000 Hg
0.500 0.000 0.000 Hg
0.000 0.000 0.000 Cu
```

Properties
**SG**: I4/mmm (139)
**ΔE_f**: -30 meV per atom

# 8
Below is crystalline Na2CuHgO at its relaxed geometry, with properties calculated at the PBE level.

Geometry as POSCAR:
```
Na2CuHgO
1.0
-0.332 4.864 -1.028
-4.934 -0.448 -0.528
-0.459 0.742 3.658
O Na Hg Cu
1 2 1 1
direct
0.000 0.000 0.000 O
0.000 0.500 0.000 Na
0.500 0.000 0.000 Na
0.500 0.500 0.500 Hg
0.000 0.000 0.500 Cu
```

Properties
**SG**: P4/mmm (123)
**Raw formation energy**: -573 meV/atom

Repeat the sixth record exactly.
Below is crystalline Na2CuHg at its relaxed geometry, with properties calculated at the PBE level.

Geometry as POSCAR:
```
Na2CuHg
1.0
3.194 0.000 0.000
1.597 2.766 0.000
1.597 0.922 10.855
Na Hg Cu
2 1 1
direct
0.084 0.084 0.748 Na
0.916 0.916 0.252 Na
0.500 0.500 0.500 Hg
0.000 0.000 0.000 Cu
```

Properties
**SG**: R-3m (166)
**ΔE_f**: 290 meV per atom